Density functional theory data (PBE with a Hubbard U) for a relaxed AlMo2F crystal.

The structure belongs to space group I-42d (No. 122); the cell edges are 6.979, 6.979 and 6.524 Å and the angles 90.00°, 90.00° and 90.00°. The distinct sites, in fractional coordinates, are Al at (0.000, 0.000, 0.000), Mo at (0.209, 0.250, 0.625) and F at (0.000, 0.000, 0.500).

The offset from the most stable computed form comes out at 0.0000 eV per atom. For the mass density, the calculation gives 4.972 Mg/m³. The total magnetic moment comes out at 8.4 μB/f.u.